[1]
Crystalline RhW5 at its relaxed geometry, computed with PBE-GGA.

Values from the calculation:
As for the crystal system: tetragonal.

Unit cell a=2.717 b=2.717 c=13.026 alpha=90.00 beta=90.00 gamma=90.00
Fractional positions:
Rh: 0.000 0.000 0.000
W: 0.000 0.000 0.325
W: 0.000 0.000 0.675
W: 0.500 0.500 0.152
W: 0.500 0.500 0.500
W: 0.500 0.500 0.848

=====

[2]
Crystalline Be2InOs at its relaxed geometry, computed with PBE-GGA.

Values from the calculation:
As for the crystal system: monoclinic.

Unit cell a=4.389 b=4.389 c=4.563 alpha=103.79 beta=103.79 gamma=42.12
Fractional positions:
Be: 0.218 0.218 0.116
Be: 0.782 0.782 0.884
In: 0.000 0.000 0.500
Os: 0.500 0.500 0.000

=====

| no. | magnetization (Bohr magnetons per cell) | DFT formation energy (meV/atom) |
| --- | --- | --- |
| 1 | 0.00 | 183 |
| 2 | 0.00 | 117 |